Record 1
A PBEsol-optimized structure of Li2Cu2Si6O15. Source: Alexandria, functional meta-GGA SCAN.

Computed properties:
Formation energy without anion corrections: -2541 meV/atom
Total magnetization: 2.00 μB/f.u.
Uncorrected energy: -10.09 eV/atom
Theoretical density: 2.99 Mg/m³

The structure in CIF format:
```
data_Li2Cu2Si6O15
_chemical_formula_sum 'Li16 Cu16 Si48 O120'
_symmetry_space_group_name_H-M 'C m c e'
_symmetry_Int_Tables_number 64
_symmetry_space_group_name_Hall '-C 2ac 2'
_cell_length_a 14.663
_cell_length_b 16.530
_cell_length_c 10.081
_cell_angle_alpha 90.00
_cell_angle_beta 90.00
_cell_angle_gamma 90.00
loop_
_atom_site_label
_atom_site_type_symbol
_atom_site_fract_x
_atom_site_fract_y
_atom_site_fract_z
Li1 Li 0.000 0.087 0.228
Li2 Li 0.250 0.238 0.750
Cu1 Cu 0.248 0.000 0.500
Cu2 Cu 0.250 0.096 0.250
Si1 Si 0.103 0.188 0.444
Si2 Si 0.105 0.125 0.980
Si3 Si 0.107 0.062 0.689
O1 O 0.000 0.029 0.706
O2 O 0.000 0.095 0.011
O3 O 0.000 0.170 0.380
O4 O 0.106 0.221 0.010
O5 O 0.115 0.128 0.571
O6 O 0.133 0.112 0.824
O7 O 0.167 0.074 0.081
O8 O 0.170 0.015 0.345
O9 O 0.178 0.184 0.330
```



Record 2
A PBEsol-optimized structure of Co2As2Br. Source: Alexandria, functional meta-GGA SCAN.

Computed properties:
Formation energy without anion corrections: 9 meV/atom
Total magnetization: 0.00 μB/f.u.
Uncorrected energy: -18.88 eV/atom
Theoretical density: 6.49 Mg/m³

The structure in CIF format:
```
data_Co2As2Br
_chemical_formula_sum 'Co4 As4 Br2'
_symmetry_space_group_name_H-M 'I 4/m m m'
_symmetry_Int_Tables_number 139
_symmetry_space_group_name_Hall '-I 4 2'
_cell_length_a 3.502
_cell_length_b 3.502
_cell_length_c 14.504
_cell_angle_alpha 90.00
_cell_angle_beta 90.00
_cell_angle_gamma 90.00
loop_
_atom_site_label
_atom_site_type_symbol
_atom_site_fract_x
_atom_site_fract_y
_atom_site_fract_z
Co1 Co 0.000 0.500 0.250
As1 As 0.000 0.000 0.148
Br1 Br 0.000 0.000 0.500
```



Record 3
A PBEsol-optimized structure of Mn2CrIF. Source: Alexandria, functional meta-GGA SCAN.

Computed properties:
Formation energy without anion corrections: -224 meV/atom
Total magnetization: 5.52 μB/f.u.
Uncorrected energy: -19.26 eV/atom
Theoretical density: 5.88 Mg/m³

The structure in CIF format:
```
data_Mn2CrIF
_chemical_formula_sum 'Mn2 Cr1 I1 F1'
_symmetry_space_group_name_H-M 'P 4/m m m'
_symmetry_Int_Tables_number 123
_symmetry_space_group_name_Hall '-P 4 2'
_cell_length_a 4.748
_cell_length_b 4.748
_cell_length_c 3.856
_cell_angle_alpha 90.00
_cell_angle_beta 90.00
_cell_angle_gamma 90.00
loop_
_atom_site_label
_atom_site_type_symbol
_atom_site_fract_x
_atom_site_fract_y
_atom_site_fract_z
Mn1 Mn 0.000 0.500 0.000
Cr1 Cr 0.000 0.000 0.000
I1 I 0.500 0.500 0.500
F1 F 0.000 0.000 0.500
```



Record 4
A PBEsol-optimized structure of BaNa2Si. Source: Alexandria, functional meta-GGA SCAN.

Computed properties:
Formation energy without anion corrections: -46 meV/atom
Total magnetization: 0.00 μB/f.u.
Uncorrected energy: -14.54 eV/atom
Theoretical density: 3.29 Mg/m³

The structure in CIF format:
```
data_BaNa2Si
_chemical_formula_sum 'Ba4 Na8 Si4'
_symmetry_space_group_name_H-M 'F m -3 m'
_symmetry_Int_Tables_number 225
_symmetry_space_group_name_Hall '-F 4 2 3'
_cell_length_a 7.525
_cell_length_b 7.525
_cell_length_c 7.525
_cell_angle_alpha 90.00
_cell_angle_beta 90.00
_cell_angle_gamma 90.00
loop_
_atom_site_label
_atom_site_type_symbol
_atom_site_fract_x
_atom_site_fract_y
_atom_site_fract_z
Ba1 Ba 0.000 0.000 0.000
Na1 Na 0.250 0.250 0.250
Si1 Si 0.000 0.000 0.500
```



Record 5
A PBEsol-optimized structure of Li4Au5. Source: Alexandria, functional meta-GGA SCAN.

Computed properties:
Formation enthalpy at 0 K: -48.3 kJ per mole of atoms
Total magnetization: 0.00 μB/f.u.
Uncorrected energy: -39.98 eV/atom
Theoretical density: 11.82 Mg/m³

The structure in CIF format:
```
data_Li4Au5
_chemical_formula_sum 'Li8 Au10'
_symmetry_space_group_name_H-M 'I 4/m m m'
_symmetry_Int_Tables_number 139
_symmetry_space_group_name_Hall '-I 4 2'
_cell_length_a 8.443
_cell_length_b 8.443
_cell_length_c 3.991
_cell_angle_alpha 90.00
_cell_angle_beta 90.00
_cell_angle_gamma 90.00
loop_
_atom_site_label
_atom_site_type_symbol
_atom_site_fract_x
_atom_site_fract_y
_atom_site_fract_z
Li1 Li 0.000 0.309 0.000
Au1 Au 0.000 0.000 0.000
Au2 Au 0.171 0.171 0.500
```



Record 6
A PBEsol-optimized structure of La2BeCu. Source: Alexandria, functional meta-GGA SCAN.

Computed properties:
Formation enthalpy at 0 K: 4.1 kJ per mole of atoms
Total magnetization: 0.00 μB/f.u.
Uncorrected energy: -26.40 eV/atom
Theoretical density: 6.39 Mg/m³

The structure in CIF format:
```
data_La2BeCu
_chemical_formula_sum 'La2 Be1 Cu1'
_symmetry_space_group_name_H-M 'P 4/m m m'
_symmetry_Int_Tables_number 123
_symmetry_space_group_name_Hall '-P 4 2'
_cell_length_a 5.060
_cell_length_b 5.060
_cell_length_c 3.554
_cell_angle_alpha 90.00
_cell_angle_beta 90.00
_cell_angle_gamma 90.00
loop_
_atom_site_label
_atom_site_type_symbol
_atom_site_fract_x
_atom_site_fract_y
_atom_site_fract_z
La1 La 0.000 0.500 0.000
Be1 Be 0.000 0.000 0.500
Cu1 Cu 0.500 0.500 0.500
```



Record 7
A PBEsol-optimized structure of La2Sn3Pb3. Source: Alexandria, functional meta-GGA SCAN.

Computed properties:
Formation enthalpy at 0 K: -59.0 kJ per mole of atoms
Total magnetization: 0.00 μB/f.u.
Uncorrected energy: -53.28 eV/atom
Theoretical density: 9.44 Mg/m³

The structure in CIF format:
```
data_La2Sn3Pb3
_chemical_formula_sum 'La2 Sn3 Pb3'
_symmetry_space_group_name_H-M 'P m m m'
_symmetry_Int_Tables_number 47
_cell_length_a 4.793
_cell_length_b 4.797
_cell_length_c 9.601
_cell_angle_alpha 90.00
_cell_angle_beta 90.00
_cell_angle_gamma 90.00
loop_
_symmetry_equiv_pos_as_xyz
'x,y,z'
'-x,-y,-z'
'-x,-y,z'
'x,y,-z'
'x,-y,-z'
'-x,y,z'
'-x,y,-z'
'x,-y,z'
loop_
_atom_site_label
_atom_site_type_symbol
_atom_site_fract_x
_atom_site_fract_y
_atom_site_fract_z
La1 La 0.000 0.000 0.245
Sn1 Sn 0.000 0.500 0.000
Sn2 Sn 0.000 0.500 0.500
Sn3 Sn 0.500 0.000 0.000
Pb1 Pb 0.500 0.000 0.500
Pb2 Pb 0.500 0.500 0.247
```



Record 8
A PBEsol-optimized structure of Li2MnP4O12. Source: Alexandria, functional meta-GGA SCAN.

Computed properties:
Formation energy without anion corrections: -2440 meV/atom
Total magnetization: 5.00 μB/f.u.
Uncorrected energy: -9.78 eV/atom
Theoretical density: 3.24 Mg/m³

The structure in CIF format:
```
data_Li2MnP4O12
_chemical_formula_sum 'Li4 Mn2 P8 O24'
_symmetry_space_group_name_H-M 'P 4/n b m'
_symmetry_Int_Tables_number 125
_cell_length_a 9.261
_cell_length_b 9.261
_cell_length_c 4.599
_cell_angle_alpha 90.00
_cell_angle_beta 90.00
_cell_angle_gamma 90.00
loop_
_symmetry_equiv_pos_as_xyz
'x,y,z'
'-x,-y,-z'
'-y+1/2,x,z'
'y+1/2,-x,-z'
'-x+1/2,-y+1/2,z'
'x+1/2,y+1/2,-z'
'y,-x+1/2,z'
'-y,x+1/2,-z'
'x,-y+1/2,-z'
'-x,y+1/2,z'
'-y+1/2,-x+1/2,-z'
'y+1/2,x+1/2,z'
'-x+1/2,y,-z'
'x+1/2,-y,z'
'y,x,-z'
'-y,-x,z'
loop_
_atom_site_label
_atom_site_type_symbol
_atom_site_fract_x
_atom_site_fract_y
_atom_site_fract_z
Li1 Li 0.000 0.000 0.000
Mn1 Mn 0.250 0.250 0.000
P1 P 0.026 0.750 0.500
O1 O 0.050 0.176 0.255
O2 O 0.136 0.636 0.653
```



Record 9
A PBEsol-optimized structure of Rb3ScIn. Source: Alexandria, functional meta-GGA SCAN.

Computed properties:
Formation enthalpy at 0 K: 89.7 kJ per mole of atoms
Total magnetization: 4.03 μB/f.u.
Uncorrected energy: -21.04 eV/atom
Theoretical density: 2.14 Mg/m³

The structure in CIF format:
```
data_Rb3ScIn
_chemical_formula_sum 'Rb3 Sc1 In1'
_symmetry_space_group_name_H-M 'P m -3 m'
_symmetry_Int_Tables_number 221
_symmetry_space_group_name_Hall '-P 4 2 3'
_cell_length_a 6.861
_cell_length_b 6.861
_cell_length_c 6.861
_cell_angle_alpha 90.00
_cell_angle_beta 90.00
_cell_angle_gamma 90.00
loop_
_atom_site_label
_atom_site_type_symbol
_atom_site_fract_x
_atom_site_fract_y
_atom_site_fract_z
Rb1 Rb 0.000 0.000 0.500
Sc1 Sc 0.000 0.000 0.000
In1 In 0.500 0.500 0.500
```



Record 10
A PBEsol-optimized structure of SrAg2Os. Source: Alexandria, functional meta-GGA SCAN.

Computed properties:
Formation enthalpy at 0 K: 64.7 kJ per mole of atoms
Total magnetization: 1.01 μB/f.u.
Uncorrected energy: -38.55 eV/atom
Theoretical density: 10.94 Mg/m³

The structure in CIF format:
```
data_SrAg2Os
_chemical_formula_sum 'Sr1 Ag2 Os1'
_symmetry_space_group_name_H-M 'P 4 m m'
_symmetry_Int_Tables_number 99
_cell_length_a 2.915
_cell_length_b 2.915
_cell_length_c 8.817
_cell_angle_alpha 90.00
_cell_angle_beta 90.00
_cell_angle_gamma 90.00
loop_
_symmetry_equiv_pos_as_xyz
'x,y,z'
'-y,x,z'
'-x,-y,z'
'y,-x,z'
'-x,y,z'
'y,x,z'
'x,-y,z'
'-y,-x,z'
loop_
_atom_site_label
_atom_site_type_symbol
_atom_site_fract_x
_atom_site_fract_y
_atom_site_fract_z
Sr1 Sr 0.000 0.000 0.000
Ag1 Ag 0.000 0.000 0.519
Ag2 Ag 0.500 0.500 0.295
Os1 Os 0.500 0.500 0.735
```



Record 11
A PBEsol-optimized structure of Sb2TeSI. Source: Alexandria, functional meta-GGA SCAN.

Computed properties:
Formation energy without anion corrections: 622 meV/atom
Total magnetization: 0.00 μB/f.u.
Uncorrected energy: -31.01 eV/atom
Theoretical density: 6.05 Mg/m³

The structure in CIF format:
```
data_Sb2TeSI
_chemical_formula_sum 'Sb2 Te1 S1 I1'
_symmetry_space_group_name_H-M 'P 4/m m m'
_symmetry_Int_Tables_number 123
_symmetry_space_group_name_Hall '-P 4 2'
_cell_length_a 5.228
_cell_length_b 5.228
_cell_length_c 5.327
_cell_angle_alpha 90.00
_cell_angle_beta 90.00
_cell_angle_gamma 90.00
loop_
_atom_site_label
_atom_site_type_symbol
_atom_site_fract_x
_atom_site_fract_y
_atom_site_fract_z
Sb1 Sb 0.000 0.500 0.000
Te1 Te 0.000 0.000 0.500
S1 S 0.000 0.000 0.000
I1 I 0.500 0.500 0.500
```



Record 12
A PBEsol-optimized structure of Li4V3Fe3Sn2O16. Source: Alexandria, functional meta-GGA SCAN.

Computed properties:
Formation energy without anion corrections: -2108 meV/atom
Total magnetization: 2.86 μB/f.u.
Uncorrected energy: -12.39 eV/atom
Theoretical density: 5.20 Mg/m³

The structure in CIF format:
```
data_Li4V3Fe3Sn2O16
_chemical_formula_sum 'Li8 V6 Fe6 Sn4 O32'
_symmetry_space_group_name_H-M 'C 1 m 1'
_symmetry_Int_Tables_number 8
_cell_length_a 9.615
_cell_length_b 5.690
_cell_length_c 9.815
_cell_angle_alpha 90.00
_cell_angle_beta 90.01
_cell_angle_gamma 90.00
loop_
_symmetry_equiv_pos_as_xyz
'x,y,z'
'x,-y,z'
'x+1/2,y+1/2,z'
'x+1/2,-y+1/2,z'
loop_
_atom_site_label
_atom_site_type_symbol
_atom_site_fract_x
_atom_site_fract_y
_atom_site_fract_z
Li1 Li 0.000 0.000 0.000
Li2 Li 0.002 0.000 0.499
Li3 Li 0.170 0.500 0.101
Li4 Li 0.337 0.000 0.594
V1 V 0.097 0.268 0.777
V2 V 0.193 0.000 0.278
Fe1 Fe 0.320 0.500 0.777
Fe2 Fe 0.413 0.238 0.277
Sn1 Sn 0.168 0.500 0.492
Sn2 Sn 0.342 0.000 0.998
O1 O 0.000 0.000 0.688
O2 O 0.001 0.000 0.188
O3 O 0.017 0.500 0.653
O4 O 0.085 0.233 0.383
O5 O 0.165 0.500 0.901
O6 O 0.166 0.000 0.883
O7 O 0.247 0.273 0.651
O8 O 0.260 0.228 0.152
O9 O 0.344 0.000 0.397
O10 O 0.346 0.500 0.383
O11 O 0.423 0.265 0.883
O12 O 0.487 0.000 0.161
```



The lowest uncorrected energy belongs to which entry?
La2Sn3Pb3



The highest uncorrected energy belongs to which entry?
Li2MnP4O12



Which of these has the highest total magnetization?
Mn2CrIF



Number 4 is which compound?
BaNa2Si